No. 1
The following is a DFT calculation (GGA-PBE) of an optimized crystal structure of K2Tb2TiS6.

Results
**VASP energy**: -5.698 eV per atom

Geometry as POSCAR:
```
K2Tb2TiS6
1.0
-3.340 2.408 -5.273
-2.856 -4.685 3.828
-0.860 6.140 4.831
K Tb Ti S
2 2 1 6
direct
0.829 0.171 0.000
0.171 0.829 0.000
0.333 0.667 0.500
0.667 0.333 0.500
0.000 0.000 0.500
0.764 0.764 0.690
0.066 0.372 0.692
0.236 0.236 0.310
0.372 0.066 0.692
0.934 0.628 0.308
0.628 0.934 0.308
```



No. 2
The following is a DFT calculation (GGA-PBE) of an optimized crystal structure of K3Tb2TlS6.

Results
**VASP energy**: -4.727 eV per atom

Geometry as POSCAR:
```
K3Tb2TlS6
1.0
7.035 0.000 0.001
-3.516 6.094 0.001
-1.173 -2.031 7.410
K Tb Tl S
3 2 1 6
direct
0.165 0.835 0.500
0.835 0.165 0.500
0.500 0.500 0.500
0.333 0.667 0.000
0.667 0.333 0.000
0.000 0.000 0.000
0.932 0.596 0.796
0.732 0.732 0.204
0.068 0.404 0.204
0.596 0.932 0.796
0.268 0.268 0.796
0.404 0.068 0.204
```



No. 3
The following is a DFT calculation (GGA-PBE) of an optimized crystal structure of K4TbU3S8.

Results
**VASP energy**: -6.243 eV per atom

Geometry as POSCAR:
```
K4TbU3S8
1.0
-4.252 -5.404 -4.274
4.751 -6.499 3.491
-3.792 5.012 5.104
K Tb U S
4 1 3 8
direct
0.500 0.000 0.000
0.500 0.000 0.500
0.000 0.000 0.000
0.000 0.000 0.500
0.000 0.500 0.000
0.500 0.500 0.000
0.500 0.500 0.500
0.000 0.500 0.500
0.235 0.704 0.969
0.235 0.704 0.470
0.265 0.296 0.531
0.734 0.704 0.969
0.266 0.296 0.031
0.735 0.704 0.469
0.765 0.296 0.530
0.765 0.296 0.031
```



No. 4
The following is a DFT calculation (GGA-PBE) of an optimized crystal structure of K4Tb3US8.

Results
**VASP energy**: -5.658 eV per atom

Geometry as POSCAR:
```
K4Tb3US8
1.0
-4.015 5.521 4.444
2.360 -4.176 7.320
5.906 2.376 -5.082
K Tb U S
4 3 1 8
direct
0.500 0.000 0.000
0.500 0.000 0.500
0.000 0.000 0.000
0.000 0.000 0.500
0.500 0.500 0.000
0.500 0.500 0.500
0.000 0.500 0.500
0.000 0.500 0.000
0.234 0.703 0.969
0.234 0.703 0.468
0.266 0.297 0.531
0.735 0.703 0.969
0.265 0.297 0.031
0.734 0.703 0.469
0.766 0.297 0.532
0.766 0.297 0.031
```



No. 5
The following is a DFT calculation (GGA-PBE) of an optimized crystal structure of K4Tb3YS8.

Results
**VASP energy**: -5.500 eV per atom

Geometry as POSCAR:
```
K4Tb3YS8
1.0
8.135 0.000 0.000
0.000 8.734 0.415
-4.068 -4.064 5.755
K Tb Y S
4 3 1 8
direct
0.500 0.000 0.000
0.500 0.000 0.500
0.000 0.000 0.000
0.000 0.000 0.500
0.500 0.500 0.000
0.500 0.500 0.500
0.000 0.500 0.500
0.000 0.500 0.000
0.234 0.702 0.969
0.234 0.702 0.468
0.266 0.298 0.532
0.735 0.702 0.969
0.265 0.298 0.031
0.734 0.702 0.468
0.766 0.298 0.532
0.766 0.298 0.031
```



No. 6
The following is a DFT calculation (GGA-PBE) of an optimized crystal structure of K3TbY2S6.

Results
**VASP energy**: -5.693 eV per atom

Geometry as POSCAR:
```
K3TbY2S6
1.0
-3.307 -4.057 -4.698
0.885 -2.267 6.599
-5.633 5.148 1.275
K Tb Y S
3 1 2 6
direct
0.167 0.833 0.500
0.833 0.167 0.500
0.500 0.500 0.500
0.000 0.000 0.000
0.333 0.667 0.000
0.667 0.333 0.000
0.933 0.599 0.798
0.733 0.733 0.202
0.067 0.401 0.202
0.599 0.933 0.798
0.267 0.267 0.798
0.401 0.067 0.202
```



No. 7
The following is a DFT calculation (GGA-PBE) of an optimized crystal structure of K2TbYS4.

Results
**VASP energy**: -5.615 eV per atom

Geometry as POSCAR:
```
K2TbYS4
1.0
4.064 0.000 0.000
0.000 7.038 0.119
0.000 -2.471 7.331
K Tb Y S
2 1 1 4
direct
0.500 0.000 0.500
0.000 0.500 0.500
0.500 0.500 0.000
0.000 0.000 0.000
0.500 0.233 0.202
0.500 0.767 0.798
0.000 0.265 0.798
0.000 0.735 0.202
```



No. 8
The following is a DFT calculation (GGA-PBE) of an optimized crystal structure of K2TbZn2S4.

Results
**VASP energy**: -4.038 eV per atom

Geometry as POSCAR:
```
K2TbZn2S4
1.0
-3.225 0.969 -1.946
-1.083 -7.555 -1.969
-1.860 1.524 7.728
K Tb Zn S
2 1 2 4
direct
0.128 0.559 0.255
0.872 0.441 0.745
0.000 0.000 0.000
0.685 0.023 0.370
0.315 0.977 0.630
0.190 0.212 0.380
0.810 0.788 0.620
0.534 0.784 0.067
0.466 0.216 0.933
```